# AlCdBr2, optimized geometry, DFT PBE
data_AlCdBr2
_space_group_name_H-M_alt 'P 1'
_space_group_IT_number 1
_space_group_name_Hall 'P 1'
_cell_length_a 4.318
_cell_length_b 6.693
_cell_length_c 4.148
_cell_angle_alpha 90.00
_cell_angle_beta 90.00
_cell_angle_gamma 90.00
loop_
_atom_site_label
_atom_site_type_symbol
_atom_site_fract_x
_atom_site_fract_y
_atom_site_fract_z
_atom_site_occupancy
Al1 Al 0.000 0.500 0.500 1
Br1 Br 0.000 0.000 0.000 1
Br2 Br 0.500 0.500 0.000 1
Cd1 Cd 0.500 0.000 0.500 1
# M_tot	0.000	μB/atom
# energy above the most stable polymorph in this dataset	328	meV/atom
# ρ	4145	kg/m3
# raw formation energy	-0.62	eV per formula unit